DFT (PBE-GGA) results for crystalline MoN at its relaxed geometry.

Geometry as extended XYZ:
```
16
Lattice="5.2198 0.0000 0.0000 0.0000 5.3974 0.0000 0.0000 0.0000 7.3913" Properties=species:S:1:pos:R:3 pbc="T T T"
Mo 0.6727 0.3571 1.9669
Mo 1.1358 1.9751 7.1524
Mo 1.4741 3.4223 3.4568
Mo 1.9371 5.0403 5.6625
Mo 3.2826 2.3416 5.4244
Mo 3.7457 0.7236 0.2389
Mo 4.0840 4.6738 3.9346
Mo 4.5470 3.0558 1.7288
N 0.9212 5.3691 3.9408
N 1.2444 2.3876 1.7277
N 1.3655 3.0098 5.4233
N 1.6887 0.0283 0.2451
N 3.5310 2.7270 3.4505
N 3.8542 0.3111 5.6636
N 3.9754 5.0863 1.9680
N 4.2986 2.6704 7.1462
```

Properties
Crystal system = orthorhombic
Energy = -154.8 eV/cell
Calculated volume = 13.01 Å³/atom
Energy relative to the elements, uncorrected = -98 meV per atom